Entry 1:
MgNbP2O: single point on PBEsol structure, meta-GGA SCAN.

Cell lengths 4.9031, 4.9031, 3.8711 Å; angles 90.00, 90.00, 90.00 degrees
With the nearest neighbours (Å) after each atom.
Atoms (fractional coordinates):
Mg  0.0000  0.0000  0.0000  8 P 3.12, 4 O 3.47
Nb  0.5000  0.5000  0.5000  2 O 1.94
P  0.0000  0.5000  0.5000  2 Nb 2.45
P  0.5000  0.0000  0.5000  2 Nb 2.45
O  0.5000  0.5000  0.0000  2 Nb 1.94

Output
**Size of the total moment**: 0.00 μB per cell
**Calculated volume**: 18.6 A^3/atom
**N(E_F)**: 1.6 states/eV/cell
**VASP energy**: -68.39 eV per cell
**E_form (uncorrected)**: -0.65 eV/atom

Entry 2:
MgTi3Nb2Pb6O18: single point on PBEsol structure, meta-GGA SCAN.

Cell lengths 5.6175, 5.6175, 13.7949 Å; angles 90.00, 90.00, 120.00 degrees
With the nearest neighbours (Å) after each atom.
Atoms (fractional coordinates):
Mg  0.0000  0.0000  0.0000  6 O 2.03
Ti  0.0000  0.0000  0.5000  6 O 1.97
Ti  0.3333  0.6667  0.6624  6 O 1.95-1.97
Ti  0.6667  0.3333  0.3376  6 O 1.95-1.97
Nb  0.3333  0.6667  0.1640  6 O 1.93-2.08
Nb  0.6667  0.3333  0.8360  6 O 1.93-2.08
Pb  0.0000  0.0000  0.2530  12 O 2.80-2.81
Pb  0.0000  0.0000  0.7470  12 O 2.80-2.81
Pb  0.3333  0.6667  0.4204  12 O 2.75-2.81
Pb  0.3333  0.6667  0.9134  12 O 2.81-2.90
Pb  0.6667  0.3333  0.0866  12 O 2.81-2.90
Pb  0.6667  0.3333  0.5796  12 O 2.75-2.81
O  0.0056  0.5028  0.7443  1 Ti 1.95, 1 Nb 2.08
O  0.1666  0.3332  0.5811  2 Ti 1.97
O  0.1671  0.3342  0.0882  1 Nb 1.93, 1 Mg 2.03
O  0.1671  0.8329  0.0882  1 Nb 1.93, 1 Mg 2.03
O  0.1666  0.8334  0.5811  2 Ti 1.97
O  0.3332  0.1666  0.4189  2 Ti 1.97
O  0.3342  0.1671  0.9118  1 Nb 1.93, 1 Mg 2.03
O  0.4972  0.5028  0.7443  1 Ti 1.95, 1 Nb 2.08
O  0.4972  0.9944  0.7443  1 Ti 1.95, 1 Nb 2.08
O  0.5028  0.0056  0.2557  1 Ti 1.95, 1 Nb 2.08
O  0.5028  0.4972  0.2557  1 Ti 1.95, 1 Nb 2.08
O  0.6658  0.8329  0.0882  1 Nb 1.93, 1 Mg 2.03
O  0.6668  0.8334  0.5811  2 Ti 1.97
O  0.8334  0.1666  0.4189  2 Ti 1.97
O  0.8329  0.1671  0.9118  1 Nb 1.93, 1 Mg 2.03
O  0.8329  0.6658  0.9118  1 Nb 1.93, 1 Mg 2.03
O  0.8334  0.6668  0.4189  2 Ti 1.97
O  0.9944  0.4972  0.2557  1 Ti 1.95, 1 Nb 2.08

Output
**Size of the total moment**: 0.00 μB per cell
**Calculated volume**: 12.6 A^3/atom
**N(E_F)**: 0.0 states/eV/cell
**VASP energy**: -755.99 eV per cell
**E_form (uncorrected)**: -2.33 eV/atom

Entry 3:
MgTiNb2Pb4O12: single point on PBEsol structure, meta-GGA SCAN.

Cell lengths 5.7001, 7.9541, 5.8005 Å; angles 90.00, 90.00, 90.00 degrees
With the nearest neighbours (Å) after each atom.
Atoms (fractional coordinates):
Mg  0.0000  0.0000  0.0000  6 O 2.02-2.14
Ti  0.5000  0.5000  0.4776  4 O 1.83-1.97
Nb  0.0000  0.5000  0.9773  4 O 1.90-1.96
Nb  0.5000  0.0000  0.5007  6 O 1.94-2.06
Pb  0.0000  0.2451  0.4502  3 O 2.35-2.59
Pb  0.0000  0.7549  0.4502  3 O 2.35-2.59
Pb  0.5000  0.2304  0.9547  5 O 2.48-2.77
Pb  0.5000  0.7696  0.9547  5 O 2.48-2.77
O  0.0000  0.2585  0.0456  1 Nb 1.96, 1 Mg 2.07
O  0.0000  0.7415  0.0456  1 Nb 1.96, 1 Mg 2.07
O  0.2452  0.0000  0.2799  1 Nb 1.94, 1 Mg 2.14
O  0.2484  0.5000  0.2811  1 Ti 1.83
O  0.2566  0.5000  0.7693  1 Nb 1.90
O  0.2690  0.0000  0.7733  1 Mg 2.02, 1 Nb 2.06
O  0.5000  0.2549  0.5280  1 Ti 1.97, 1 Nb 2.03
O  0.5000  0.7451  0.5280  1 Ti 1.97, 1 Nb 2.03
O  0.7310  0.0000  0.7733  1 Mg 2.02, 1 Nb 2.06
O  0.7434  0.5000  0.7693  1 Nb 1.90
O  0.7516  0.5000  0.2811  1 Ti 1.83
O  0.7548  0.0000  0.2799  1 Nb 1.94, 1 Mg 2.14

Output
**Size of the total moment**: 0.00 μB per cell
**Calculated volume**: 13.1 A^3/atom
**N(E_F)**: 0.0 states/eV/cell
**VASP energy**: -510.61 eV per cell
**E_form (uncorrected)**: -2.27 eV/atom
**Energy relative to the lowest polymorph listed for this composition**: 11.5 kJ/mol of formula units

Entry 4:
MgTiNb2Pb4O12: single point on PBEsol structure, meta-GGA SCAN.

Cell lengths 8.1148, 8.1384, 9.8015 Å; angles 114.14, 114.33, 90.54 degrees
With the nearest neighbours (Å) after each atom.
Atoms (fractional coordinates):
Mg  0.0000  0.0000  0.0000  6 O 2.05-2.19
Mg  0.2480  0.7485  0.4992  6 O 2.05-2.18
Ti  0.4899  0.5103  0.0006  4 O 1.82-2.01
Ti  0.7383  0.2584  0.4996  4 O 1.83-2.00
Nb  0.2387  0.2485  0.5023  5 O 1.90-2.06
Nb  0.4987  0.0085  0.9982  5 O 1.90-2.05
Nb  0.7526  0.7611  0.4976  5 O 1.89-2.09
Nb  0.9878  0.4956  0.0009  5 O 1.90-2.09
Pb  0.1071  0.1496  0.7703  4 O 2.42-2.70
Pb  0.1114  0.6562  0.7629  5 O 2.45-2.74
Pb  0.3426  0.8911  0.2533  5 O 2.40-2.69
Pb  0.3580  0.4020  0.2641  5 O 2.44-2.70
Pb  0.5934  0.1344  0.7392  3 O 2.36-2.60
Pb  0.6105  0.6562  0.7504  3 O 2.41-2.49
Pb  0.8561  0.8981  0.2339  4 O 2.44-2.60
Pb  0.8653  0.4059  0.2687  3 O 2.38-2.53
O  0.0103  0.2330  0.5112  1 Nb 1.90
O  0.0106  0.7230  0.9812  1 Nb 1.95
O  0.0265  0.2511  0.9990  1 Nb 2.01, 1 Mg 2.06
O  0.1292  0.0938  0.2557  1 Nb 1.98, 1 Mg 2.05
O  0.1534  0.6183  0.2407  1 Nb 1.94, 1 Mg 2.08
O  0.2475  0.4742  0.4810  1 Nb 1.94, 1 Mg 2.17
O  0.2505  0.4752  0.9715  1 Ti 1.84
O  0.2656  0.9809  0.0048  1 Nb 1.93, 1 Mg 2.14
O  0.2927  0.0063  0.5134  1 Nb 2.06, 1 Mg 2.06
O  0.3844  0.8461  0.7549  1 Nb 1.97, 1 Mg 2.05
O  0.4098  0.3717  0.7529  1 Ti 2.01, 1 Nb 2.03
O  0.5020  0.2335  0.9823  1 Nb 1.90
O  0.5069  0.2417  0.4869  1 Ti 1.83
O  0.5149  0.7398  0.0141  1 Ti 1.82
O  0.5166  0.7178  0.5030  1 Nb 1.97, 1 Mg 2.18
O  0.6155  0.5848  0.2398  1 Ti 1.94, 1 Nb 2.09
O  0.6532  0.1185  0.2527  1 Ti 2.00, 1 Nb 2.04
O  0.7412  0.9864  0.4851  1 Nb 1.89
O  0.7454  0.9646  0.9940  1 Nb 2.05, 1 Mg 2.06
O  0.7605  0.4944  0.0130  1 Nb 1.90
O  0.7718  0.4829  0.5001  1 Ti 1.84
O  0.8732  0.3435  0.7404  1 Ti 1.94, 1 Nb 2.09
O  0.8921  0.8605  0.7404  1 Nb 1.95, 1 Mg 2.08
O  0.9831  0.7202  0.4736  1 Nb 1.99, 1 Mg 2.06

Output
**Size of the total moment**: 0.00 μB per cell
**Calculated volume**: 13.1 A^3/atom
**N(E_F)**: 0.0 states/eV/cell
**VASP energy**: -1021.47 eV per cell
**E_form (uncorrected)**: -2.28 eV/atom
**Energy relative to the lowest polymorph listed for this composition**: 0.0 kJ/mol of formula units

Entry 5:
MgNbRu2O: single point on PBEsol structure, meta-GGA SCAN.

Cell lengths 4.1097, 4.1097, 4.1009 Å; angles 90.00, 90.00, 90.00 degrees
With the nearest neighbours (Å) after each atom.
Atoms (fractional coordinates):
Mg  0.0000  0.0000  0.0000  8 Ru 2.90, 4 Nb 2.91
Nb  0.5000  0.5000  0.0000  2 O 2.05
Ru  0.0000  0.5000  0.5000  2 O 2.05
Ru  0.5000  0.0000  0.5000  2 O 2.05
O  0.5000  0.5000  0.5000  2 Nb 2.05, 4 Ru 2.05

Output
**Size of the total moment**: 0.00 μB per cell
**Calculated volume**: 13.9 A^3/atom
**N(E_F)**: 3.6 states/eV/cell
**VASP energy**: -115.24 eV per cell
**E_form (uncorrected)**: -0.25 eV/atom

Entry 6:
MgTiNb2O: single point on PBEsol structure, meta-GGA SCAN.

Cell lengths 5.0208, 5.0208, 3.6634 Å; angles 90.00, 90.00, 90.00 degrees
With the nearest neighbours (Å) after each atom.
Atoms (fractional coordinates):
Mg  0.0000  0.0000  0.0000  8 Nb 3.11
Ti  0.5000  0.5000  0.5000  2 O 1.83
Nb  0.0000  0.5000  0.5000  2 Ti 2.51
Nb  0.5000  0.0000  0.5000  2 Ti 2.51
O  0.5000  0.5000  0.0000  2 Ti 1.83

Output
**Size of the total moment**: 0.00 μB per cell
**Calculated volume**: 18.5 A^3/atom
**N(E_F)**: 5.0 states/eV/cell
**VASP energy**: -91.55 eV per cell
**E_form (uncorrected)**: 0.39 eV/atom

Entry 7:
MgNbOs: single point on PBEsol structure, meta-GGA SCAN.

Cell lengths 4.5252, 4.5252, 5.4605 Å; angles 90.00, 90.00, 120.00 degrees
With the nearest neighbours (Å) after each atom.
Atoms (fractional coordinates):
Mg  0.0000  0.0000  0.0000  2 Mg 2.73, 6 Nb 2.80
Mg  0.0000  0.0000  0.5000  2 Mg 2.73, 6 Os 2.82
Nb  0.3333  0.6667  0.1848  5 Os 2.68-2.78, 3 Mg 2.80
Nb  0.6667  0.3333  0.8152  5 Os 2.68-2.78, 3 Mg 2.80
Os  0.3333  0.6667  0.6935  5 Nb 2.68-2.78, 3 Mg 2.82
Os  0.6667  0.3333  0.3065  5 Nb 2.68-2.78, 3 Mg 2.82

Output
**Size of the total moment**: 0.00 μB per cell
**Calculated volume**: 16.1 A^3/atom
**N(E_F)**: 1.3 states/eV/cell
**VASP energy**: -221.48 eV per cell

Entry 8:
Mg2NbP: single point on PBEsol structure, meta-GGA SCAN.

Cell lengths 4.6589, 4.6589, 4.6589 Å; angles 60.00, 60.00, 60.00 degrees
With the nearest neighbours (Å) after each atom.
Atoms (fractional coordinates):
Mg  0.2500  0.2500  0.2500  4 Nb 2.85, 4 P 2.85
Mg  0.7500  0.7500  0.7500  4 P 2.85, 4 Nb 2.85
Nb  0.0000  0.0000  0.0000  8 Mg 2.85
P  0.5000  0.5000  0.5000  8 Mg 2.85

Output
**Size of the total moment**: 3.20 μB per cell
**Calculated volume**: 17.9 A^3/atom
**N(E_F)**: 3.5 states/eV/cell
**VASP energy**: -51.40 eV per cell

Repeat the fifth record exactly.
MgNbRu2O: single point on PBEsol structure, meta-GGA SCAN.

Cell lengths 4.1097, 4.1097, 4.1009 Å; angles 90.00, 90.00, 90.00 degrees
With the nearest neighbours (Å) after each atom.
Atoms (fractional coordinates):
Mg  0.0000  0.0000  0.0000  8 Ru 2.90, 4 Nb 2.91
Nb  0.5000  0.5000  0.0000  2 O 2.05
Ru  0.0000  0.5000  0.5000  2 O 2.05
Ru  0.5000  0.0000  0.5000  2 O 2.05
O  0.5000  0.5000  0.5000  2 Nb 2.05, 4 Ru 2.05

Output
**Size of the total moment**: 0.00 μB per cell
**Calculated volume**: 13.9 A^3/atom
**N(E_F)**: 3.6 states/eV/cell
**VASP energy**: -115.24 eV per cell
**E_form (uncorrected)**: -0.25 eV/atom

The highest N(E_F) belongs to which entry? MgTiNb2O

Repeat the fourth record exactly.
MgTiNb2Pb4O12: single point on PBEsol structure, meta-GGA SCAN.

Cell lengths 8.1148, 8.1384, 9.8015 Å; angles 114.14, 114.33, 90.54 degrees
With the nearest neighbours (Å) after each atom.
Atoms (fractional coordinates):
Mg  0.0000  0.0000  0.0000  6 O 2.05-2.19
Mg  0.2480  0.7485  0.4992  6 O 2.05-2.18
Ti  0.4899  0.5103  0.0006  4 O 1.82-2.01
Ti  0.7383  0.2584  0.4996  4 O 1.83-2.00
Nb  0.2387  0.2485  0.5023  5 O 1.90-2.06
Nb  0.4987  0.0085  0.9982  5 O 1.90-2.05
Nb  0.7526  0.7611  0.4976  5 O 1.89-2.09
Nb  0.9878  0.4956  0.0009  5 O 1.90-2.09
Pb  0.1071  0.1496  0.7703  4 O 2.42-2.70
Pb  0.1114  0.6562  0.7629  5 O 2.45-2.74
Pb  0.3426  0.8911  0.2533  5 O 2.40-2.69
Pb  0.3580  0.4020  0.2641  5 O 2.44-2.70
Pb  0.5934  0.1344  0.7392  3 O 2.36-2.60
Pb  0.6105  0.6562  0.7504  3 O 2.41-2.49
Pb  0.8561  0.8981  0.2339  4 O 2.44-2.60
Pb  0.8653  0.4059  0.2687  3 O 2.38-2.53
O  0.0103  0.2330  0.5112  1 Nb 1.90
O  0.0106  0.7230  0.9812  1 Nb 1.95
O  0.0265  0.2511  0.9990  1 Nb 2.01, 1 Mg 2.06
O  0.1292  0.0938  0.2557  1 Nb 1.98, 1 Mg 2.05
O  0.1534  0.6183  0.2407  1 Nb 1.94, 1 Mg 2.08
O  0.2475  0.4742  0.4810  1 Nb 1.94, 1 Mg 2.17
O  0.2505  0.4752  0.9715  1 Ti 1.84
O  0.2656  0.9809  0.0048  1 Nb 1.93, 1 Mg 2.14
O  0.2927  0.0063  0.5134  1 Nb 2.06, 1 Mg 2.06
O  0.3844  0.8461  0.7549  1 Nb 1.97, 1 Mg 2.05
O  0.4098  0.3717  0.7529  1 Ti 2.01, 1 Nb 2.03
O  0.5020  0.2335  0.9823  1 Nb 1.90
O  0.5069  0.2417  0.4869  1 Ti 1.83
O  0.5149  0.7398  0.0141  1 Ti 1.82
O  0.5166  0.7178  0.5030  1 Nb 1.97, 1 Mg 2.18
O  0.6155  0.5848  0.2398  1 Ti 1.94, 1 Nb 2.09
O  0.6532  0.1185  0.2527  1 Ti 2.00, 1 Nb 2.04
O  0.7412  0.9864  0.4851  1 Nb 1.89
O  0.7454  0.9646  0.9940  1 Nb 2.05, 1 Mg 2.06
O  0.7605  0.4944  0.0130  1 Nb 1.90
O  0.7718  0.4829  0.5001  1 Ti 1.84
O  0.8732  0.3435  0.7404  1 Ti 1.94, 1 Nb 2.09
O  0.8921  0.8605  0.7404  1 Nb 1.95, 1 Mg 2.08
O  0.9831  0.7202  0.4736  1 Nb 1.99, 1 Mg 2.06

Output
**Size of the total moment**: 0.00 μB per cell
**Calculated volume**: 13.1 A^3/atom
**N(E_F)**: 0.0 states/eV/cell
**VASP energy**: -1021.47 eV per cell
**E_form (uncorrected)**: -2.28 eV/atom
**Energy relative to the lowest polymorph listed for this composition**: 0.0 kJ/mol of formula units